First-principles (PBE) data for crystalline TmGa2Pd5 at its relaxed geometry, as listed in Alexandria.

Electronic total energy (eV for the cell shown): -41.89
Energy of formation from the pure elements (meV/atom): -675
Total magnetic moment (Bohr magnetons per cell): 0.0
Space-group type: Immm

Unit cell a=3.7556 b=6.5728 c=6.5728 alpha=65.10 beta=73.40 gamma=73.40
Closest atoms and distances in Å follow each position.
Fractional coordinates of all 8 atoms:
Pd  0.3639  0.8452  0.4270  3 Ga 2.43-2.62
Pd  0.0000  0.5000  0.5000  2 Ga 2.50, 8 Pd 2.78
Pd  0.3639  0.4270  0.8452  3 Ga 2.43-2.62
Pd  0.6361  0.5730  0.1548  3 Ga 2.43-2.62
Pd  0.6361  0.1548  0.5730  3 Ga 2.43-2.62
Ga  0.2394  0.2606  0.2606  7 Pd 2.43-2.62
Ga  0.7606  0.7394  0.7394  7 Pd 2.43-2.62
Tm  0.0000  0.0000  0.0000  8 Pd 3.13, 4 Ga 3.30